Material: ScCr2Cl
Method: DFT, GGA-PBE
State: optimized geometry

Cell lengths 3.1488, 3.1488, 8.5634 Å; angles 90.00, 90.00, 113.66 degrees
Element x y z (fractional)
Cl  0.5000  0.5000  0.7500
Cr  0.0000  0.0000  0.9870
Cr  0.0000  0.0000  0.5130
Sc  0.5000  0.5000  0.2500

The formation energy (no corrections) comes out at 28.4 kJ/mol of atoms. Its excess energy over the best structure of this formula in the dataset is 0.488 eV/atom. Its total magnetic moment is 7.9 μB/f.u.

***

Material: K2Ca2Ta
Method: DFT, GGA-PBE
State: optimized geometry

Cell lengths 8.2771, 8.2771, 6.7717 Å; angles 90.00, 90.00, 90.00 degrees
Element x y z (fractional)
Ca  0.3386  0.8386  0.0000
Ca  0.8386  0.6614  0.0000
Ca  0.6614  0.1614  0.0000
Ca  0.1614  0.3386  0.0000
K  0.1812  0.6812  0.5000
K  0.6812  0.8188  0.5000
K  0.8188  0.3188  0.5000
K  0.3188  0.1812  0.5000
Ta  0.0000  0.0000  0.0000
Ta  0.5000  0.5000  0.0000

The formation energy comes out at 1.012 eV per atom. Its excess energy over the best structure of this formula in the dataset is 0.000 eV/atom. Its total magnetic moment is 4.6 μB/f.u.

***

Material: NiH5Pd5
Method: DFT, GGA-PBE
State: optimized geometry

Cell lengths 4.0215, 4.9996, 5.7194 Å; angles 107.02, 90.00, 113.71 degrees
Element x y z (fractional)
Ni  0.0000  0.0000  0.0000
H  0.8532  0.7064  0.1556
H  0.8552  0.7103  0.6924
H  0.5000  0.0000  0.0000
H  0.1448  0.2897  0.3076
H  0.1468  0.2936  0.8444
Pd  0.6622  0.3244  0.3276
Pd  0.6662  0.3324  0.8348
Pd  0.0000  0.0000  0.5000
Pd  0.3338  0.6676  0.1652
Pd  0.3378  0.6756  0.6724

The total DFT energy (no corrections) is -4.466 eV/atom. Its total magnetic moment is 0.0 μB/f.u.

***

Material: PrDyCl2
Method: DFT, GGA-PBE
State: optimized geometry

Cell lengths 4.7658, 4.7658, 7.4058 Å; angles 71.23, 71.23, 60.00 degrees
Element x y z (fractional)
Pr  0.5000  0.5000  0.5000
Cl  0.1273  0.1273  0.6182
Cl  0.8727  0.8727  0.3818
Dy  0.0000  0.0000  0.0000

The formation energy (no corrections) comes out at -95.9 kJ/mol of atoms. Its total magnetic moment is 0.6 μB/f.u.